# DyCd3Co4O12

DyCd3Co4O12 after structural relaxation (PBE with a Hubbard U, OQMD).

a = 6.4339 Å, b = 6.4339 Å, c = 6.4339 Å
α = 109.47°, β = 109.47°, γ = 109.47°
Element x y z (fractional)
Dy1 0.0000 0.0000 0.0000
Cd1 0.0000 0.5000 0.5000
Cd2 0.5000 0.0000 0.5000
Cd3 0.5000 0.5000 0.0000
Co1 0.0000 0.0000 0.5000
Co2 0.0000 0.5000 0.0000
Co3 0.5000 0.0000 0.0000
Co4 0.5000 0.5000 0.5000
O1 0.0834 0.2803 0.8031
O2 0.1969 0.4772 0.2803
O3 0.1969 0.9166 0.7197
O4 0.2803 0.1969 0.4772
O5 0.2803 0.8031 0.0834
O6 0.4772 0.2803 0.1969
O7 0.5228 0.7197 0.8031
O8 0.7197 0.1969 0.9166
O9 0.7197 0.8031 0.5228
O10 0.8031 0.0834 0.2803
O11 0.8031 0.5228 0.7197
O12 0.9166 0.7197 0.1969

Values from the calculation:
E_tot ... -5.47 eV/atom
Mass density ... 7.5 g cm⁻³